(1)
Density functional theory data (GGA-PBE) for a geometry-optimized AcFeNi structure.

Summary:
Space-group type: P4_12_12 (92)
Magnetization, μB/atom: 0.7799
Calculated formation energy, eV/atom: 0.274
Theoretical density, g/cm³: 8.14

```
AcFeNi
1.0
6.8003 0.0000 0.0000
0.0000 6.8003 0.0000
0.0000 0.0000 6.0251
Ac Fe Ni
4 4 4
direct
0.2442 0.2442 0.0000
0.2558 0.7442 0.2500
0.7442 0.2558 0.7500
0.7558 0.7558 0.5000
0.1319 0.1319 0.5000
0.3681 0.6319 0.7500
0.6319 0.3681 0.2500
0.8681 0.8681 0.0000
0.1266 0.8734 0.7500
0.3734 0.3734 0.5000
0.6266 0.6266 0.0000
0.8734 0.1266 0.2500
```



(2)
Density functional theory data (GGA-PBE) for a geometry-optimized Ta2Tl2Si structure.

Summary:
Total DFT energy (no corrections), eV per atom: -5.815
Space-group type: I4/mmm (139)
Magnetization, μB/atom: 0.0000
Theoretical density, g/cm³: 11.69

```
Ta2Tl2Si
1.0
-1.9274 1.9274 7.6390
1.9274 -1.9274 7.6390
1.9274 1.9274 -7.6390
Ta Tl Si
2 2 1
direct
0.2500 0.7500 0.5000
0.7500 0.2500 0.5000
0.0970 0.0970 0.0000
0.9030 0.9030 0.0000
0.5000 0.5000 0.0000
```



(3)
Density functional theory data (GGA-PBE) for a geometry-optimized CaAl3Ni3 structure.

Summary:
Space-group type: Pm-3n (223)
Magnetization, μB/atom: 0.0000
Calculated formation energy, eV/atom: -0.024
Theoretical density, g/cm³: 3.61

```
CaAl3Ni3
1.0
6.4871 0.0000 0.0000
0.0000 6.4871 0.0000
0.0000 0.0000 6.4871
Ca Al Ni
2 6 6
direct
0.0000 0.0000 0.0000
0.5000 0.5000 0.5000
0.0000 0.2500 0.5000
0.0000 0.7500 0.5000
0.2500 0.5000 0.0000
0.5000 0.0000 0.2500
0.5000 0.0000 0.7500
0.7500 0.5000 0.0000
0.0000 0.5000 0.2500
0.0000 0.5000 0.7500
0.2500 0.0000 0.5000
0.5000 0.2500 0.0000
0.5000 0.7500 0.0000
0.7500 0.0000 0.5000
```



> The highest magnetization belongs to which entry?

AcFeNi